A plane-wave DFT calculation with PBE was carried out for a relaxed structure of Y5HoAg.

Lattice parameters (Å, degrees): 8.6933 8.1874 12.1808 90.00 102.26 90.00
Space group C2/c (No. 15)
Asymmetric unit:
Y 0.0000 0.0308 0.2500
Y 0.1468 0.3592 0.0745
Y 0.2288 0.3327 0.3708
Ho 0.0000 0.3629 0.7500
Ag 0.0000 0.0000 0.0000

Calculated values
Density of states at the Fermi level (states/eV/cell): 49.01

---

A plane-wave DFT calculation with PBE was carried out for a relaxed structure of CaTi2Ge2.

Lattice parameters (Å, degrees): 4.8862 4.8862 9.2716 90.00 90.00 90.00
Space group I4/mmm (No. 139)
Asymmetric unit:
Ca 0.0000 0.0000 0.0000
Ti 0.0000 0.0000 0.3319
Ge 0.0000 0.5000 0.2500

Calculated values
Density of states at the Fermi level (states/eV/cell): 7.66
Polymorph energy (0 for the lowest one) (meV/atom): 333

---

A plane-wave DFT calculation with PBE was carried out for a relaxed structure of FeAg2Ir.

Lattice parameters (Å, degrees): 3.0203 4.6750 9.0492 90.00 90.00 90.00
Space group Imm2 (No. 44)
Asymmetric unit:
Fe 0.0000 0.0000 0.0000
Ag 0.0000 0.0000 0.4790
Ag 0.0000 0.5000 0.2483
Ir 0.0000 0.5000 0.7102

Calculated values
Density of states at the Fermi level (states/eV/cell): 6.63
Polymorph energy (0 for the lowest one) (meV/atom): 197

---

What energy relative to the elements values result from the calculations? In sequence: 44.7, -175.5, 393.7 meV/atom.